No. 1
# PrNd6Dy6 (PBE, optimized geometry)
data_PrNd6Dy6
_cell_length_a 6.658
_cell_length_b 6.659
_cell_length_c 11.305
_cell_angle_alpha 90.00
_cell_angle_beta 90.00
_cell_angle_gamma 115.50
_space_group_name_H-M_alt 'P 1'
_space_group_IT_number 1
_space_group_name_Hall 'P 1'
loop_
_atom_site_label
_atom_site_fract_x
_atom_site_fract_y
_atom_site_fract_z
Pr1 0.000 0.000 0.000
Nd1 0.000 0.000 0.667
Nd2 0.000 0.000 0.333
Nd3 0.358 0.642 0.000
Nd4 0.642 0.358 0.000
Nd5 0.269 0.731 0.500
Nd6 0.731 0.269 0.500
Dy1 0.000 0.500 0.774
Dy2 0.500 0.000 0.774
Dy3 0.500 0.500 0.700
Dy4 0.500 0.000 0.226
Dy5 0.000 0.500 0.226
Dy6 0.500 0.500 0.300
# * magnetization: 0.00 μB per formula unit
# * calculated formation energy: 0.210 eV per atom
# * mass density: 7.27 g/cm³
# * Fermi-level density of states: 22.132 states/eV/f.u.

=====

No. 2
# Cu23Ni6N (PBE, optimized geometry)
data_Cu23Ni6N
_cell_length_a 8.006
_cell_length_b 8.006
_cell_length_c 8.006
_cell_angle_alpha 60.00
_cell_angle_beta 60.00
_cell_angle_gamma 60.00
_space_group_name_H-M_alt 'P 1'
_space_group_IT_number 1
_space_group_name_Hall 'P 1'
loop_
_atom_site_label
_atom_site_fract_x
_atom_site_fract_y
_atom_site_fract_z
Cu1 0.643 0.119 0.119
Cu2 0.357 0.881 0.881
Cu3 0.119 0.119 0.643
Cu4 0.119 0.119 0.119
Cu5 0.881 0.881 0.357
Cu6 0.881 0.881 0.881
Cu7 0.119 0.643 0.119
Cu8 0.881 0.357 0.881
Cu9 0.500 0.500 0.000
Cu10 0.000 0.000 0.500
Cu11 0.500 0.000 0.000
Cu12 0.000 0.500 0.500
Cu13 0.500 0.000 0.500
Cu14 0.000 0.500 0.000
Cu15 0.996 0.335 0.335
Cu16 0.004 0.665 0.665
Cu17 0.335 0.335 0.996
Cu18 0.335 0.335 0.335
Cu19 0.665 0.665 0.004
Cu20 0.665 0.665 0.665
Cu21 0.335 0.996 0.335
Cu22 0.665 0.004 0.665
Cu23 0.000 0.000 0.000
Ni1 0.670 0.670 0.330
Ni2 0.330 0.330 0.670
Ni3 0.670 0.330 0.330
Ni4 0.330 0.670 0.670
Ni5 0.670 0.330 0.670
Ni6 0.330 0.670 0.330
N1 0.500 0.500 0.500
# * magnetization: 0.00 μB per formula unit
# * mass density: 8.36 g/cm³
# * Fermi-level density of states: 11.377 states/eV/f.u.
# * formation energy from raw total energies: 200 meV/atom

=====

No. 3
# Ac2AuO4 (PBE, optimized geometry)
data_Ac2AuO4
_cell_length_a 6.056
_cell_length_b 6.056
_cell_length_c 7.290
_cell_angle_alpha 114.54
_cell_angle_beta 90.00
_cell_angle_gamma 90.00
_space_group_name_H-M_alt 'P 1'
_space_group_IT_number 1
_space_group_name_Hall 'P 1'
loop_
_atom_site_label
_atom_site_fract_x
_atom_site_fract_y
_atom_site_fract_z
Ac1 0.000 0.653 0.306
Ac2 0.000 0.347 0.694
Ac3 0.500 0.847 0.694
Ac4 0.500 0.153 0.306
Au1 0.000 0.000 0.000
Au2 0.500 0.500 0.000
O1 0.790 0.710 0.000
O2 0.750 0.506 0.500
O3 0.750 0.006 0.500
O4 0.710 0.210 0.000
O5 0.290 0.790 0.000
O6 0.250 0.994 0.500
O7 0.250 0.494 0.500
O8 0.210 0.290 0.000
# * magnetization: 0.00 μB per formula unit
# * mass density: 9.76 g/cm³
# * Fermi-level density of states: 0.833 states/eV/f.u.
# * formation energy from raw total energies: -2435 meV/atom

=====

No. 4
# U4S6Br (PBE, optimized geometry)
data_U4S6Br
_cell_length_a 3.772
_cell_length_b 8.466
_cell_length_c 8.466
_cell_angle_alpha 120.00
_cell_angle_beta 90.00
_cell_angle_gamma 90.00
_space_group_name_H-M_alt 'P 1'
_space_group_IT_number 1
_space_group_name_Hall 'P 1'
loop_
_atom_site_label
_atom_site_fract_x
_atom_site_fract_y
_atom_site_fract_z
U1 0.500 0.819 0.638
U2 0.500 0.362 0.181
U3 0.500 0.819 0.181
U4 0.000 0.333 0.667
S1 0.000 0.541 0.083
S2 0.500 0.610 0.805
S3 0.000 0.541 0.459
S4 0.000 0.917 0.459
S5 0.500 0.195 0.805
S6 0.500 0.195 0.390
Br1 0.000 0.000 0.000
# * magnetization: 10.24 μB per formula unit
# * mass density: 8.68 g/cm³
# * Fermi-level density of states: 24.535 states/eV/f.u.
# * formation energy from raw total energies: -1316 meV/atom

=====

No. 5
# Al2MoHRh (PBE, optimized geometry)
data_Al2MoHRh
_cell_length_a 4.203
_cell_length_b 4.203
_cell_length_c 3.455
_cell_angle_alpha 90.00
_cell_angle_beta 90.00
_cell_angle_gamma 90.00
_space_group_name_H-M_alt 'P 1'
_space_group_IT_number 1
_space_group_name_Hall 'P 1'
loop_
_atom_site_label
_atom_site_fract_x
_atom_site_fract_y
_atom_site_fract_z
H1 0.000 0.000 0.000
Mo1 0.000 0.000 0.500
Rh1 0.500 0.500 0.500
Al1 0.000 0.500 0.000
Al2 0.500 0.000 0.000
# * magnetization: 0.00 μB per formula unit
# * mass density: 6.91 g/cm³
# * Fermi-level density of states: 3.805 states/eV/f.u.
# * E: -6.064 eV/atom

=====

No. 6
# Pr4NdSm2Er (PBE, optimized geometry)
data_Pr4NdSm2Er
_cell_length_a 5.208
_cell_length_b 5.180
_cell_length_c 11.531
_cell_angle_alpha 63.25
_cell_angle_beta 90.00
_cell_angle_gamma 90.00
_space_group_name_H-M_alt 'P 1'
_space_group_IT_number 1
_space_group_name_Hall 'P 1'
loop_
_atom_site_label
_atom_site_fract_x
_atom_site_fract_y
_atom_site_fract_z
Pr1 0.000 0.753 0.747
Pr2 0.000 0.247 0.253
Pr3 0.500 0.747 0.253
Pr4 0.500 0.253 0.747
Nd1 0.500 0.500 0.000
Sm1 0.000 0.000 0.000
Sm2 0.500 0.000 0.500
Er1 0.000 0.500 0.500
# * magnetization: 0.00 μB per formula unit
# * calculated formation energy: 0.013 eV per atom
# * mass density: 7.03 g/cm³
# * Fermi-level density of states: 11.346 states/eV/f.u.

=====

No. 7
# Li2InReSe (PBE, optimized geometry)
data_Li2InReSe
_cell_length_a 5.096
_cell_length_b 4.627
_cell_length_c 5.096
_cell_angle_alpha 90.00
_cell_angle_beta 90.00
_cell_angle_gamma 90.00
_space_group_name_H-M_alt 'P 1'
_space_group_IT_number 1
_space_group_name_Hall 'P 1'
loop_
_atom_site_label
_atom_site_fract_x
_atom_site_fract_y
_atom_site_fract_z
Re1 0.000 0.000 0.000
Li1 0.000 0.000 0.500
Li2 0.500 0.000 0.000
Se1 0.000 0.500 0.000
In1 0.500 0.500 0.500
# * magnetization: 0.59 μB per formula unit
# * mass density: 5.44 g/cm³
# * Fermi-level density of states: 3.009 states/eV/f.u.
# * formation energy from raw total energies: 453 meV/atom

=====

No. 8
# CsPmH (PBE, optimized geometry)
data_CsPmH
_cell_length_a 3.804
_cell_length_b 3.804
_cell_length_c 14.946
_cell_angle_alpha 90.00
_cell_angle_beta 90.00
_cell_angle_gamma 120.00
_space_group_name_H-M_alt 'P 1'
_space_group_IT_number 1
_space_group_name_Hall 'P 1'
loop_
_atom_site_label
_atom_site_fract_x
_atom_site_fract_y
_atom_site_fract_z
Cs1 0.608 0.217 0.368
Cs2 0.608 0.217 0.632
H1 0.614 0.228 0.000
H2 0.275 0.550 0.500
Pm1 0.281 0.561 0.894
Pm2 0.281 0.561 0.106
# * magnetization: 0.01 μB per formula unit
# * mass density: 4.95 g/cm³
# * Fermi-level density of states: 1.529 states/eV/f.u.
# * E: -2.797 eV/atom

=====

No. 9
# PmLu2Rh (PBE, optimized geometry)
data_PmLu2Rh
_cell_length_a 3.430
_cell_length_b 3.430
_cell_length_c 8.617
_cell_angle_alpha 90.00
_cell_angle_beta 90.00
_cell_angle_gamma 90.00
_space_group_name_H-M_alt 'P 1'
_space_group_IT_number 1
_space_group_name_Hall 'P 1'
loop_
_atom_site_label
_atom_site_fract_x
_atom_site_fract_y
_atom_site_fract_z
Lu1 0.000 0.000 0.814
Lu2 0.000 0.000 0.186
Rh1 0.500 0.500 0.000
Pm1 0.500 0.500 0.500
# * magnetization: 0.00 μB per formula unit
# * calculated formation energy: -0.488 eV per atom
# * mass density: 9.79 g/cm³
# * E above lowest polymorph: 0 meV per atom
# * Fermi-level density of states: 4.551 states/eV/f.u.

=====

No. 10
# Cr2TcBr (PBE, optimized geometry)
data_Cr2TcBr
_cell_length_a 3.271
_cell_length_b 3.280
_cell_length_c 6.722
_cell_angle_alpha 76.10
_cell_angle_beta 90.00
_cell_angle_gamma 90.00
_space_group_name_H-M_alt 'P 1'
_space_group_IT_number 1
_space_group_name_Hall 'P 1'
loop_
_atom_site_label
_atom_site_fract_x
_atom_site_fract_y
_atom_site_fract_z
Br1 0.500 0.538 0.815
Cr1 0.000 0.896 0.073
Cr2 0.500 0.328 0.215
Tc1 0.000 0.738 0.396
# * magnetization: 0.51 μB per formula unit
# * mass density: 6.69 g/cm³
# * E above lowest polymorph: 57 meV per atom
# * Fermi-level density of states: 2.700 states/eV/f.u.
# * formation energy from raw total energies: 549 meV/atom

=====

No. 11
# Na2TlTeI (PBE, optimized geometry)
data_Na2TlTeI
_cell_length_a 5.790
_cell_length_b 5.790
_cell_length_c 6.684
_cell_angle_alpha 90.00
_cell_angle_beta 90.00
_cell_angle_gamma 90.00
_space_group_name_H-M_alt 'P 1'
_space_group_IT_number 1
_space_group_name_Hall 'P 1'
loop_
_atom_site_label
_atom_site_fract_x
_atom_site_fract_y
_atom_site_fract_z
I1 0.500 0.500 0.500
Na1 0.000 0.500 0.000
Na2 0.500 0.000 0.000
Tl1 0.000 0.000 0.500
Te1 0.000 0.000 0.000
# * magnetization: 0.00 μB per formula unit
# * mass density: 3.74 g/cm³
# * formation energy from raw total energies: -669 meV/atom

=====

No. 12
# CuRh4W (PBE, optimized geometry)
data_CuRh4W
_cell_length_a 3.727
_cell_length_b 4.809
_cell_length_c 6.104
_cell_angle_alpha 106.38
_cell_angle_beta 72.22
_cell_angle_gamma 67.20
_space_group_name_H-M_alt 'P 1'
_space_group_IT_number 1
_space_group_name_Hall 'P 1'
loop_
_atom_site_label
_atom_site_fract_x
_atom_site_fract_y
_atom_site_fract_z
Cu1 0.500 0.500 0.500
Rh1 0.834 0.502 0.830
Rh2 0.330 0.013 0.326
Rh3 0.166 0.498 0.170
Rh4 0.670 0.987 0.674
W1 0.000 0.000 0.000
# * magnetization: 0.00 μB per formula unit
# * calculated formation energy: -0.054 eV per atom
# * mass density: 12.80 g/cm³
# * E above lowest polymorph: 0 meV per atom
# * Fermi-level density of states: 8.030 states/eV/f.u.